No. 1
Computed, not measured: a relaxed structure of CuSn2Pd at the PBE-GGA level of DFT.

Summary:
**VASP energy**: -4.109 eV/atom

The structure in POSCAR format:
```
CuSn2Pd
1.0
0.000 3.392 3.392
3.392 0.000 3.392
3.392 3.392 0.000
Cu Sn Pd
1 2 1
direct
0.250 0.250 0.250 Cu
0.000 0.000 0.000 Sn
0.750 0.750 0.750 Sn
0.500 0.500 0.500 Pd
```

=====

No. 2
Computed, not measured: a relaxed structure of LiZrInNi at the PBE-GGA level of DFT.

Summary:
**VASP energy**: -4.817 eV/atom
**Total moment**: 0.00 μB per atom

The structure in POSCAR format:
```
LiZrInNi
1.0
0.000 3.222 3.222
3.222 0.000 3.222
3.222 3.222 0.000
Zr In Li Ni
1 1 1 1
direct
0.250 0.250 0.250 Zr
0.000 0.000 0.000 In
0.750 0.750 0.750 Li
0.500 0.500 0.500 Ni
```

=====

No. 3
Computed, not measured: a relaxed structure of CsPrGeSe3 at the PBE-GGA level of DFT.

Summary:
**VASP energy**: -4.607 eV/atom
**Total moment**: 0.00 μB per atom

The structure in POSCAR format:
```
CsPrGeSe3
1.0
2.302 -7.880 0.000
2.302 7.880 0.000
0.000 0.000 11.723
Se Pr Ge Cs
6 2 2 2
direct
0.448 0.552 0.750 Se
0.121 0.879 0.949 Se
0.879 0.121 0.051 Se
0.879 0.121 0.449 Se
0.552 0.448 0.250 Se
0.121 0.879 0.551 Se
0.500 0.500 0.000 Pr
0.500 0.500 0.500 Pr
0.962 0.038 0.250 Ge
0.038 0.962 0.750 Ge
0.240 0.760 0.250 Cs
0.760 0.240 0.750 Cs
```